Below is a relaxed structure of TePbSe3, with properties calculated at the GGA-PBE level.

```
TePbSe3
1.0
4.110 0.000 0.000
0.000 9.499 0.000
0.000 0.000 14.969
Te Pb Se
4 4 12
direct
0.750 0.832 0.058
0.750 0.332 0.442
0.250 0.168 0.942
0.250 0.668 0.558
0.250 0.494 0.166
0.250 0.994 0.334
0.750 0.006 0.666
0.750 0.506 0.834
0.250 0.652 0.993
0.750 0.201 0.282
0.250 0.515 0.381
0.750 0.348 0.007
0.750 0.985 0.881
0.750 0.848 0.493
0.750 0.701 0.218
0.250 0.799 0.718
0.750 0.485 0.619
0.250 0.299 0.782
0.250 0.015 0.119
0.250 0.152 0.507
```

Results
symmetry: Pnma
energy above the most stable polymorph in this dataset: 0 meV/atom
energy: -3.684 eV/atom
energy relative to the elements, uncorrected: -0.22 eV/atom
DOS(E_F): 0.139 states/eV per cell